1.
# TcNiOs2

An optimized crystal structure of TcNiOs2 (GGA-PBEsol, Alexandria via LeMat-Bulk).

**Magnetization**: 0.001 Bohr magnetons per cell
**Formation energy from the elements**: 0.092 eV/atom

```
4
Lattice="2.675 0.000 0.000 0.000 3.765 0.000 0.000 0.000 5.233" Properties=species:S:1:pos:R:3 pbc="T T T"
Tc 0.000 0.000 0.000
Ni 1.338 1.883 1.259
Os 0.000 0.000 2.521
Os 1.338 1.883 3.866
```

---

2.
# TcNiOs2

An optimized crystal structure of TcNiOs2 (GGA-PBEsol, Alexandria via LeMat-Bulk).

**Magnetization**: 0.007 Bohr magnetons per cell
**Formation energy from the elements**: 0.140 eV/atom

```
4
Lattice="2.672 0.000 0.000 0.000 2.672 0.000 0.000 0.000 7.386" Properties=species:S:1:pos:R:3 pbc="T T T"
Tc 0.000 0.000 0.000
Ni 1.336 1.336 1.756
Os 0.000 0.000 3.546
Os 1.336 1.336 5.429
```

---

3.
# NiTeOs

An optimized crystal structure of NiTeOs (GGA-PBEsol, Alexandria via LeMat-Bulk).

**Magnetization**: 0.000 Bohr magnetons per cell
**Energy relative to the elements, uncorrected**: 160 kJ/mol of formula units

```
3
Lattice="-1.613 1.613 4.301 1.613 -1.613 4.301 1.613 1.613 -4.301" Properties=species:S:1:pos:R:3 pbc="T T T"
Ni 0.000 0.000 0.000
Te 0.000 0.000 3.006
Os 0.000 0.000 5.786
```